No. 1
Pr2Sm2GeRh4 | PBE | optimized geometry

Cell and atoms, written as extended XYZ:
```
9
Lattice="-3.3617 3.3617 4.4895 3.3617 -3.3617 4.4895 3.3617 3.3617 -4.4895" Properties=species:S:1:pos:R:3 pbc="T T T"
Pr 3.3617 0.0000 2.2447
Pr 0.0000 3.3617 2.2447
Sm 0.0000 0.0000 1.6344
Sm 0.0000 0.0000 7.3446
Ge 0.0000 0.0000 4.4895
Rh 1.6429 1.6429 0.0000
Rh 1.7188 -1.7188 4.4895
Rh -1.7188 1.7188 4.4895
Rh 1.7188 1.7188 4.4895
```

Output
Calculated formation energy ... -0.44 eV/atom

=====

No. 2
Sn2TePdPt | PBE | optimized geometry

Cell and atoms, written as extended XYZ:
```
5
Lattice="5.7414 0.0000 0.0000 0.0000 5.7414 0.0000 0.0000 0.0000 4.8201" Properties=species:S:1:pos:R:3 pbc="T T T"
Sn 0.0000 2.8707 0.0000
Sn 2.8707 0.0000 0.0000
Te 0.0000 0.0000 0.0000
Pd 0.0000 0.0000 2.4101
Pt 2.8707 2.8707 2.4101
```

Output
E_form (uncorrected) ... 0.860 eV per atom

=====

No. 3
BaIrIO2 | PBE | optimized geometry

Cell and atoms, written as extended XYZ:
```
5
Lattice="4.4604 0.0000 0.0000 0.0000 4.4604 0.0000 0.0000 0.0000 5.1813" Properties=species:S:1:pos:R:3 pbc="T T T"
Ba 0.0000 0.0000 0.0000
Ir 2.2302 2.2302 2.5906
I 2.2302 2.2302 0.0000
O 0.0000 2.2302 2.5906
O 2.2302 0.0000 2.5906
```

Output
E_form (uncorrected) ... -0.533 eV per atom

=====

No. 4
ZrPI | PBE | optimized geometry

Cell and atoms, written as extended XYZ:
```
6
Lattice="5.1842 0.0000 0.0000 0.0000 3.9261 0.0000 -0.0428 0.0000 9.6735" Properties=species:S:1:pos:R:3 pbc="T T T"
Zr 1.2744 0.9815 3.9498
Zr 3.8670 2.9446 5.7237
P 1.2748 2.9446 5.6657
P 3.8666 0.9815 4.0078
I 1.2743 2.9446 1.7024
I 3.8671 0.9815 7.9711
```

Output
E_form (uncorrected) ... -0.952 eV per atom